VASP calculation (meta-GGA SCAN) on a crystal of RbInW3 relaxed with PBEsol.

Properties
E in eV per atom: -48.566
E_form in kJ per mole of atoms: 393

CIF file:
```
data_RbInW3
_chemical_formula_sum 'Rb1 In1 W3'
_symmetry_space_group_name_H-M 'P m -3 m'
_symmetry_Int_Tables_number 221
_symmetry_space_group_name_Hall '-P 4 2 3'
_cell_length_a 4.6932
_cell_length_b 4.6932
_cell_length_c 4.6932
_cell_angle_alpha 90.00
_cell_angle_beta 90.00
_cell_angle_gamma 90.00
loop_
_atom_site_label
_atom_site_type_symbol
_atom_site_fract_x
_atom_site_fract_y
_atom_site_fract_z
_atom_site_occupancy
Rb1 Rb 0.0000 0.0000 0.0000 1
In1 In 0.5000 0.5000 0.5000 1
W1 W 0.0000 0.0000 0.5000 1
```

VASP calculation (meta-GGA SCAN) on a crystal of Rb2Zn2In relaxed with PBEsol.

Properties
E in eV per atom: -19.967
E_form in kJ per mole of atoms: 40

CIF file:
```
data_Rb2Zn2In
_chemical_formula_sum 'Rb4 Zn4 In2'
_symmetry_space_group_name_H-M 'I 4/m m m'
_symmetry_Int_Tables_number 139
_symmetry_space_group_name_Hall '-I 4 2'
_cell_length_a 5.0462
_cell_length_b 5.0462
_cell_length_c 13.7697
_cell_angle_alpha 90.00
_cell_angle_beta 90.00
_cell_angle_gamma 90.00
loop_
_atom_site_label
_atom_site_type_symbol
_atom_site_fract_x
_atom_site_fract_y
_atom_site_fract_z
_atom_site_occupancy
Rb1 Rb 0.0000 0.5000 0.2500 1
Zn1 Zn 0.0000 0.0000 0.0866 1
In1 In 0.0000 0.0000 0.5000 1
```

VASP calculation (meta-GGA SCAN) on a crystal of RbZn2In2 relaxed with PBEsol.

Properties
E in eV per atom: -22.955
E_form in kJ per mole of atoms: -4

CIF file:
```
data_RbZn2In2
_chemical_formula_sum 'Rb2 Zn4 In4'
_symmetry_space_group_name_H-M 'I 4/m m m'
_symmetry_Int_Tables_number 139
_symmetry_space_group_name_Hall '-I 4 2'
_cell_length_a 4.7348
_cell_length_b 4.7348
_cell_length_c 11.5499
_cell_angle_alpha 90.00
_cell_angle_beta 90.00
_cell_angle_gamma 90.00
loop_
_atom_site_label
_atom_site_type_symbol
_atom_site_fract_x
_atom_site_fract_y
_atom_site_fract_z
_atom_site_occupancy
Rb1 Rb 0.0000 0.0000 0.0000 1
Zn1 Zn 0.0000 0.5000 0.2500 1
In1 In 0.0000 0.0000 0.3701 1
```

VASP calculation (meta-GGA SCAN) on a crystal of InRe relaxed with PBEsol.

Properties
E in eV per atom: -51.674
E_form in kJ per mole of atoms: 55

CIF file:
```
data_InRe
_chemical_formula_sum 'In4 Re4'
_symmetry_space_group_name_H-M 'C 1 2/m 1'
_symmetry_Int_Tables_number 12
_cell_length_a 10.2816
_cell_length_b 2.9920
_cell_length_c 4.8471
_cell_angle_alpha 90.00
_cell_angle_beta 110.36
_cell_angle_gamma 90.00
loop_
_symmetry_equiv_pos_as_xyz
'x,y,z'
'-x,-y,-z'
'-x,y,-z'
'x,-y,z'
'x+1/2,y+1/2,z'
'-x+1/2,-y+1/2,-z'
'-x+1/2,y+1/2,-z'
'x+1/2,-y+1/2,z'
loop_
_atom_site_label
_atom_site_type_symbol
_atom_site_fract_x
_atom_site_fract_y
_atom_site_fract_z
_atom_site_occupancy
In1 In 0.1072 0.0000 0.3173 1
Re1 Re 0.1503 0.5000 0.8408 1
```

VASP calculation (meta-GGA SCAN) on a crystal of InRe2 relaxed with PBEsol.

Properties
E in eV per atom: -57.858
E_form in kJ per mole of atoms: 65

CIF file:
```
data_InRe2
_chemical_formula_sum 'In1 Re2'
_symmetry_space_group_name_H-M 'P 6/m m m'
_symmetry_Int_Tables_number 191
_symmetry_space_group_name_Hall '-P 6 2'
_cell_length_a 4.4122
_cell_length_b 4.4122
_cell_length_c 2.9772
_cell_angle_alpha 90.00
_cell_angle_beta 90.00
_cell_angle_gamma 120.00
loop_
_atom_site_label
_atom_site_type_symbol
_atom_site_fract_x
_atom_site_fract_y
_atom_site_fract_z
_atom_site_occupancy
In1 In 0.0000 0.0000 0.0000 1
Re1 Re 0.3333 0.6667 0.5000 1
```

VASP calculation (meta-GGA SCAN) on a crystal of InRe relaxed with PBEsol.

Properties
E in eV per atom: -50.283
E_form in kJ per mole of atoms: 189

CIF file:
```
data_InRe
_chemical_formula_sum 'In2 Re2'
_symmetry_space_group_name_H-M 'P 63/m m c'
_symmetry_Int_Tables_number 194
_symmetry_space_group_name_Hall '-P 6c 2c'
_cell_length_a 4.6162
_cell_length_b 4.6162
_cell_length_c 5.3007
_cell_angle_alpha 90.00
_cell_angle_beta 90.00
_cell_angle_gamma 120.00
loop_
_atom_site_label
_atom_site_type_symbol
_atom_site_fract_x
_atom_site_fract_y
_atom_site_fract_z
_atom_site_occupancy
In1 In 0.3333 0.6667 0.2500 1
Re1 Re 0.3333 0.6667 0.7500 1
```

VASP calculation (meta-GGA SCAN) on a crystal of InRe relaxed with PBEsol.

Properties
E in eV per atom: -51.507
E_form in kJ per mole of atoms: 71

CIF file:
```
data_InRe
_chemical_formula_sum 'In4 Re4'
_symmetry_space_group_name_H-M 'I 41/a m d'
_symmetry_Int_Tables_number 141
_cell_length_a 4.1864
_cell_length_b 4.1864
_cell_length_c 7.7244
_cell_angle_alpha 90.00
_cell_angle_beta 90.00
_cell_angle_gamma 90.00
loop_
_symmetry_equiv_pos_as_xyz
'x,y,z'
'-x,-y,-z'
'-y+1/4,x+3/4,z+1/4'
'y+1/4,-x+3/4,-z+1/4'
'-x+1/2,-y,z+1/2'
'x+1/2,y,-z+1/2'
'y+1/4,-x+1/4,z+3/4'
'-y+1/4,x+1/4,-z+3/4'
'x,-y,-z'
'-x,y,z'
'-y+1/4,-x+1/4,-z+3/4'
'y+1/4,x+1/4,z+3/4'
'-x+1/2,y,-z+1/2'
'x+1/2,-y,z+1/2'
'y+1/4,x+3/4,-z+1/4'
'-y+1/4,-x+3/4,z+1/4'
'x+1/2,y+1/2,z+1/2'
'-x+1/2,-y+1/2,-z+1/2'
'-y+3/4,x+1/4,z+3/4'
'y+3/4,-x+1/4,-z+3/4'
'-x,-y+1/2,z'
'x,y+1/2,-z'
'y+3/4,-x+3/4,z+1/4'
'-y+3/4,x+3/4,-z+1/4'
'x+1/2,-y+1/2,-z+1/2'
'-x+1/2,y+1/2,z+1/2'
'-y+3/4,-x+3/4,-z+1/4'
'y+3/4,x+3/4,z+1/4'
'-x,y+1/2,-z'
'x,-y+1/2,z'
'y+3/4,x+1/4,-z+3/4'
'-y+3/4,-x+1/4,z+3/4'
loop_
_atom_site_label
_atom_site_type_symbol
_atom_site_fract_x
_atom_site_fract_y
_atom_site_fract_z
_atom_site_occupancy
In1 In 0.0000 0.2500 0.3750 1
Re1 Re 0.0000 0.2500 0.8750 1
```

VASP calculation (meta-GGA SCAN) on a crystal of InRe relaxed with PBEsol.

Properties
E in eV per atom: -51.602
E_form in kJ per mole of atoms: 62

CIF file:
```
data_InRe
_chemical_formula_sum 'In2 Re2'
_symmetry_space_group_name_H-M 'P m m n'
_symmetry_Int_Tables_number 59
_cell_length_a 2.9602
_cell_length_b 4.6817
_cell_length_c 4.8788
_cell_angle_alpha 90.00
_cell_angle_beta 90.00
_cell_angle_gamma 90.00
loop_
_symmetry_equiv_pos_as_xyz
'x,y,z'
'-x,-y,-z'
'-x+1/2,-y+1/2,z'
'x+1/2,y+1/2,-z'
'x+1/2,-y,-z'
'-x+1/2,y,z'
'-x,y+1/2,-z'
'x,-y+1/2,z'
loop_
_atom_site_label
_atom_site_type_symbol
_atom_site_fract_x
_atom_site_fract_y
_atom_site_fract_z
_atom_site_occupancy
In1 In 0.2500 0.2500 0.0875 1
Re1 Re 0.2500 0.7500 0.4189 1
```

VASP calculation (meta-GGA SCAN) on a crystal of InRe relaxed with PBEsol.

Properties
E in eV per atom: -51.695
E_form in kJ per mole of atoms: 53

CIF file:
```
data_InRe
_chemical_formula_sum 'In2 Re2'
_symmetry_space_group_name_H-M 'P 1 21/m 1'
_symmetry_Int_Tables_number 11
_cell_length_a 3.0983
_cell_length_b 4.3066
_cell_length_c 5.5954
_cell_angle_alpha 90.00
_cell_angle_beta 106.14
_cell_angle_gamma 90.00
loop_
_symmetry_equiv_pos_as_xyz
'x,y,z'
'-x,-y,-z'
'-x,y+1/2,-z'
'x,-y+1/2,z'
loop_
_atom_site_label
_atom_site_type_symbol
_atom_site_fract_x
_atom_site_fract_y
_atom_site_fract_z
_atom_site_occupancy
In1 In 0.1715 0.2500 0.3447 1
Re1 Re 0.4449 0.2500 0.8852 1
```

VASP calculation (meta-GGA SCAN) on a crystal of InRe2Rh relaxed with PBEsol.

Properties
E in eV per atom: -52.026
E_form in kJ per mole of atoms: 30

CIF file:
```
data_InRe2Rh
_chemical_formula_sum 'In2 Re4 Rh2'
_symmetry_space_group_name_H-M 'I m m 2'
_symmetry_Int_Tables_number 44
_cell_length_a 3.8843
_cell_length_b 4.2065
_cell_length_c 7.6183
_cell_angle_alpha 90.00
_cell_angle_beta 90.00
_cell_angle_gamma 90.00
loop_
_symmetry_equiv_pos_as_xyz
'x,y,z'
'-x,-y,z'
'-x,y,z'
'x,-y,z'
'x+1/2,y+1/2,z+1/2'
'-x+1/2,-y+1/2,z+1/2'
'-x+1/2,y+1/2,z+1/2'
'x+1/2,-y+1/2,z+1/2'
loop_
_atom_site_label
_atom_site_type_symbol
_atom_site_fract_x
_atom_site_fract_y
_atom_site_fract_z
_atom_site_occupancy
In1 In 0.0000 0.0000 0.0000 1
Re1 Re 0.0000 0.0000 0.4736 1
Re2 Re 0.0000 0.5000 0.7596 1
Rh1 Rh 0.0000 0.5000 0.2474 1
```

VASP calculation (meta-GGA SCAN) on a crystal of InRe2Rh relaxed with PBEsol.

Properties
E in eV per atom: -52.062
E_form in kJ per mole of atoms: 27

CIF file:
```
data_InRe2Rh
_chemical_formula_sum 'In2 Re4 Rh2'
_symmetry_space_group_name_H-M 'I 4/m m m'
_symmetry_Int_Tables_number 139
_symmetry_space_group_name_Hall '-I 4 2'
_cell_length_a 3.7715
_cell_length_b 3.7715
_cell_length_c 8.6095
_cell_angle_alpha 90.00
_cell_angle_beta 90.00
_cell_angle_gamma 90.00
loop_
_atom_site_label
_atom_site_type_symbol
_atom_site_fract_x
_atom_site_fract_y
_atom_site_fract_z
_atom_site_occupancy
In1 In 0.0000 0.0000 0.0000 1
Re1 Re 0.0000 0.5000 0.2500 1
Rh1 Rh 0.0000 0.0000 0.5000 1
```

VASP calculation (meta-GGA SCAN) on a crystal of InReRh2 relaxed with PBEsol.

Properties
E in eV per atom: -42.849
E_form in kJ per mole of atoms: 15

CIF file:
```
data_InReRh2
_chemical_formula_sum 'In2 Re2 Rh4'
_symmetry_space_group_name_H-M 'I -4 m 2'
_symmetry_Int_Tables_number 119
_symmetry_space_group_name_Hall 'I -4 -2'
_cell_length_a 3.8850
_cell_length_b 3.8850
_cell_length_c 7.9655
_cell_angle_alpha 90.00
_cell_angle_beta 90.00
_cell_angle_gamma 90.00
loop_
_atom_site_label
_atom_site_type_symbol
_atom_site_fract_x
_atom_site_fract_y
_atom_site_fract_z
_atom_site_occupancy
In1 In 0.0000 0.0000 0.0000 1
Re1 Re 0.0000 0.5000 0.2500 1
Rh1 Rh 0.0000 0.0000 0.5000 1
Rh2 Rh 0.0000 0.5000 0.7500 1
```